{
  "formula": "NpGaBr4",
  "functional": "PBE-GGA",
  "state": "relaxed",
  "cell": [[7.9524, 0.0000, -4.0450], [-2.0917, 7.3617, -4.1123], [-0.4085, -0.1948, 9.0365]],
  "species": ["Np", "Np", "Ga", "Ga", "Br", "Br", "Br", "Br", "Br", "Br", "Br", "Br"],
  "fractional_positions": [[0.5000, 0.5000, 0.0000], [0.5000, 0.0000, 0.0000], [0.5000, 0.0000, 0.5000], [0.0000, 0.0000, 0.5000], [0.7164, 0.7211, 0.4329], [0.2843, 0.7553, 0.0106], [0.7263, 0.7553, 0.0106], [0.7164, 0.2118, 0.4329], [0.2836, 0.7882, 0.5671], [0.7157, 0.2447, 0.9894], [0.2737, 0.2447, 0.9894], [0.2836, 0.2789, 0.5671]],
  "sg": "No. 74",
  "raw_formation_energy_mev_per_atom": -1051,
  "volume_a3_per_cell": 509,
  "e_tot_ev_per_atom": -4.8280,
  "crystal_system": "orthorhombic"
}